No. 1
A plane-wave DFT calculation with PBE-GGA was carried out for crystalline Np2SbAu at its relaxed geometry.

Cell lengths 5.2159, 5.2159, 5.2159 Å; angles 60.00, 60.00, 60.00 degrees
With the nearest neighbours (Å) after each atom.
Positions (direct):
1 Np 0.7500 0.7500 0.7500  4 Au 3.19, 4 Sb 3.19
2 Np 0.2500 0.2500 0.2500  4 Sb 3.19, 4 Au 3.19
3 Au 0.5000 0.5000 0.5000  8 Np 3.19
4 Sb 0.0000 0.0000 0.0000  8 Np 3.19

As for the energy above the lowest structure with this stoichiometry: 60 meV per atom. As for the space group: Fm-3m, No. 225.



No. 2
A plane-wave DFT calculation with PBE-GGA was carried out for crystalline Np2SbAu at its relaxed geometry.

Cell lengths 4.1695, 4.8535, 4.8535 Å; angles 90.00, 90.00, 90.00 degrees
With the nearest neighbours (Å) after each atom.
Positions (direct):
1 Np 0.0000 0.5000 0.0000  4 Au 3.20, 4 Sb 3.20, 4 Np 3.43
2 Np 0.0000 0.0000 0.5000  4 Sb 3.20, 4 Au 3.20, 4 Np 3.43
3 Sb 0.5000 0.5000 0.5000  8 Np 3.20, 4 Au 3.43
4 Au 0.5000 0.0000 0.0000  8 Np 3.20, 4 Sb 3.43

As for the energy above the lowest structure with this stoichiometry: 48 meV per atom. As for the space group: P4/mmm, No. 123.



No. 3
A plane-wave DFT calculation with PBE-GGA was carried out for crystalline NpSb3Au at its relaxed geometry.

Cell lengths 6.2217, 6.2421, 12.8895 Å; angles 90.00, 90.00, 90.00 degrees
With the nearest neighbours (Å) after each atom.
Positions (direct):
1 Au 0.5000 0.2500 0.1111  6 Sb 2.91-2.98, 2 Au 3.11
2 Au 0.5000 0.7500 0.8889  6 Sb 2.91-2.98, 2 Au 3.11
3 Au 0.0000 0.7500 0.8889  6 Sb 2.91-2.98, 2 Au 3.11
4 Au 0.0000 0.2500 0.1111  6 Sb 2.91-2.98, 2 Au 3.11
5 Sb 0.7500 0.0028 0.7341  2 Au 2.98, 4 Np 3.16-3.19
6 Sb 0.2500 0.6356 0.0734  4 Au 2.91-2.93, 1 Np 3.19
7 Sb 0.2500 0.4972 0.7341  2 Au 2.98, 4 Np 3.16-3.19
8 Sb 0.2500 0.9972 0.2659  2 Au 2.98, 4 Np 3.16-3.19
9 Sb 0.7500 0.3644 0.9266  4 Au 2.91-2.93, 1 Np 3.19
10 Sb 0.7500 0.8644 0.0734  4 Au 2.91-2.93, 1 Np 3.19
11 Sb 0.0000 0.7500 0.5016  4 Sb 3.11-3.12, 4 Np 3.26-3.29
12 Sb 0.2500 0.1356 0.9266  4 Au 2.91-2.93, 1 Np 3.19
13 Sb 0.0000 0.2500 0.4984  4 Sb 3.11-3.12, 4 Np 3.26-3.29
14 Sb 0.7500 0.5028 0.2659  2 Au 2.98, 4 Np 3.16-3.19
15 Sb 0.5000 0.2500 0.4984  4 Sb 3.11-3.12, 4 Np 3.26-3.29
16 Sb 0.5000 0.7500 0.5016  4 Sb 3.11-3.12, 4 Np 3.26-3.29
17 Np 0.2500 0.9995 0.6878  9 Sb 3.16-3.29, 2 Au 3.40
18 Np 0.7500 0.0005 0.3122  9 Sb 3.16-3.29, 2 Au 3.40
19 Np 0.7500 0.5005 0.6878  9 Sb 3.16-3.29, 2 Au 3.40
20 Np 0.2500 0.4995 0.3122  9 Sb 3.16-3.29, 2 Au 3.40

As for the space group: Pbcm, No. 57.



No. 4
A plane-wave DFT calculation with PBE-GGA was carried out for crystalline NpSbAu4 at its relaxed geometry.

Cell lengths 5.6648, 5.6648, 5.6648 Å; angles 60.00, 60.00, 60.00 degrees
With the nearest neighbours (Å) after each atom.
Positions (direct):
1 Au 0.1259 0.6247 0.6247  6 Au 2.83-2.84
2 Au 0.6247 0.1259 0.6247  6 Au 2.83-2.84
3 Au 0.6247 0.6247 0.6247  6 Au 2.83-2.84
4 Au 0.6247 0.6247 0.1259  6 Au 2.83-2.84
5 Np 0.2500 0.2500 0.2500  12 Au 3.32, 4 Sb 3.47
6 Sb 0.0000 0.0000 0.0000  12 Au 3.32, 4 Np 3.47

As for the energy above the lowest structure with this stoichiometry: 41 meV per atom. As for the space group: F-43m, No. 216.



No. 5
A plane-wave DFT calculation with PBE-GGA was carried out for crystalline NpSb2Au at its relaxed geometry.

Cell lengths 3.9894, 3.9894, 6.2272 Å; angles 90.00, 90.00, 90.00 degrees
With the nearest neighbours (Å) after each atom.
Positions (direct):
1 Sb 0.0000 0.0000 0.7553  2 Sb 3.05-3.18, 4 Au 3.21, 4 Np 3.24
2 Sb 0.0000 0.0000 0.2447  2 Sb 3.05-3.18, 4 Au 3.21, 4 Np 3.24
3 Au 0.5000 0.5000 0.0000  2 Np 3.11, 8 Sb 3.21
4 Np 0.5000 0.5000 0.5000  2 Au 3.11, 8 Sb 3.24

As for the space group: P4/mmm, No. 123.



No. 6
A plane-wave DFT calculation with PBE-GGA was carried out for crystalline Np2SbAu at its relaxed geometry.

Cell lengths 4.1306, 4.1306, 8.0274 Å; angles 75.09, 75.09, 60.00 degrees
With the nearest neighbours (Å) after each atom.
Positions (direct):
1 Sb 0.5000 0.5000 0.5000  6 Np 3.11
2 Au 0.0000 0.0000 0.0000  6 Np 3.01
3 Np 0.2534 0.2534 0.2398  3 Au 3.01, 3 Sb 3.11
4 Np 0.7466 0.7466 0.7602  3 Au 3.01, 3 Sb 3.11

As for the energy above the lowest structure with this stoichiometry: 261 meV per atom. As for the space group: R-3m, No. 166.



No. 7
A plane-wave DFT calculation with PBE-GGA was carried out for crystalline NpSb2Au2 at its relaxed geometry.

Cell lengths 4.3615, 4.4060, 12.0451 Å; angles 90.00, 100.43, 90.00 degrees
With the nearest neighbours (Å) after each atom.
Positions (direct):
1 Sb 0.8770 0.7500 0.7540  4 Au 2.90-2.92, 4 Np 3.15
2 Sb 0.2502 0.7500 0.5003  4 Sb 3.10, 4 Np 3.27-3.28
3 Sb 0.7498 0.2500 0.4997  4 Sb 3.10, 4 Np 3.27-3.28
4 Sb 0.1230 0.2500 0.2460  4 Au 2.90-2.92, 4 Np 3.15
5 Au 0.4576 0.7500 0.9152  2 Sb 2.90, 8 Au 2.96-3.10
6 Au 0.9581 0.2500 0.9161  2 Sb 2.92, 8 Au 2.96-3.10
7 Au 0.5424 0.2500 0.0848  2 Sb 2.90, 8 Au 2.96-3.10
8 Au 0.0419 0.7500 0.0839  2 Sb 2.92, 8 Au 2.96-3.10
9 Np 0.3527 0.2500 0.7053  8 Sb 3.15-3.28, 4 Au 3.32
10 Np 0.6473 0.7500 0.2947  8 Sb 3.15-3.28, 4 Au 3.32

As for the space group: Cmcm, No. 63.



No. 8
A plane-wave DFT calculation with PBE-GGA was carried out for crystalline Np4Sb7Au5 at its relaxed geometry.

Cell lengths 6.1817, 6.1817, 10.8047 Å; angles 106.62, 106.62, 90.00 degrees
With the nearest neighbours (Å) after each atom.
Positions (direct):
1 Au 0.7500 0.2500 0.5000  4 Sb 2.95, 4 Au 3.09
2 Au 0.0000 0.0000 0.0000  4 Sb 3.09, 4 Np 3.27
3 Au 0.7490 0.7490 0.4980  4 Sb 2.94-2.95, 4 Au 3.09
4 Au 0.2500 0.7500 0.5000  4 Sb 2.95, 4 Au 3.09
5 Au 0.2510 0.2510 0.5020  4 Sb 2.94-2.95, 4 Au 3.09
6 Sb 0.3973 0.3973 0.3000  4 Au 2.94-2.95, 4 Np 3.13-3.15
7 Sb 0.0973 0.6027 0.7000  4 Au 2.94-2.95, 4 Np 3.13-3.15
8 Sb 0.9027 0.9027 0.3000  4 Au 2.94-2.95, 4 Np 3.13-3.15
9 Sb 0.5000 0.5000 0.0000  4 Sb 3.09, 4 Np 3.26
10 Sb 0.6027 0.0973 0.7000  4 Au 2.94-2.95, 4 Np 3.13-3.15
11 Sb 0.5000 0.0000 0.0000  2 Sb 3.09, 2 Au 3.09, 4 Np 3.27
12 Sb 0.0000 0.5000 0.0000  2 Au 3.09, 2 Sb 3.09, 4 Np 3.27
13 Np 0.6257 0.6257 0.7544  7 Sb 3.13-3.27, 5 Au 3.27-3.35
14 Np 0.3743 0.8714 0.2456  7 Sb 3.13-3.27, 5 Au 3.27-3.35
15 Np 0.8714 0.3743 0.2456  7 Sb 3.13-3.27, 5 Au 3.27-3.35
16 Np 0.1286 0.1286 0.7544  7 Sb 3.13-3.27, 5 Au 3.27-3.35

As for the space group: I-42m, No. 121.



No. 9
A plane-wave DFT calculation with PBE-GGA was carried out for crystalline NpSbAuSe at its relaxed geometry.

Cell lengths 4.5392, 4.5392, 8.9944 Å; angles 90.00, 90.00, 90.00 degrees
With the nearest neighbours (Å) after each atom.
Positions (direct):
1 Se 0.0000 0.0000 0.5000  4 Np 2.91, 4 Se 3.21
2 Se 0.5000 0.5000 0.5000  4 Np 2.91, 4 Se 3.21
3 Np 0.5000 0.0000 0.7021  4 Se 2.91
4 Np 0.0000 0.5000 0.2979  4 Se 2.91
5 Au 0.5000 0.5000 0.0000  4 Sb 2.85
6 Au 0.0000 0.0000 0.0000  4 Sb 2.85
7 Sb 0.5000 0.0000 0.1918  4 Au 2.85
8 Sb 0.0000 0.5000 0.8082  4 Au 2.85

As for the space group: P4/nmm, No. 129.



No. 10
A plane-wave DFT calculation with PBE-GGA was carried out for crystalline Sr2NpSb4Au3 at its relaxed geometry.

Cell lengths 4.8026, 4.8026, 12.3272 Å; angles 90.00, 90.00, 90.00 degrees
With the nearest neighbours (Å) after each atom.
Positions (direct):
1 Sb 0.0000 0.0000 0.0000  4 Au 2.88
2 Sb 0.5000 0.0000 0.6510  1 Au 2.71
3 Sb 0.5000 0.5000 0.0000  4 Au 2.88
4 Sb 0.0000 0.5000 0.3490  1 Au 2.71
5 Np 0.5000 0.5000 0.5000  4 Sb 3.04, 4 Au 3.40
6 Au 0.0000 0.0000 0.5000  4 Sb 3.04, 4 Np 3.40
7 Au 0.5000 0.0000 0.8707  5 Sb 2.71-2.88
8 Au 0.0000 0.5000 0.1293  5 Sb 2.71-2.88
9 Sr 0.5000 0.0000 0.2289  4 Au 3.61, 8 Sb 3.70-3.71
10 Sr 0.0000 0.5000 0.7711  4 Au 3.61, 8 Sb 3.70-3.71

As for the space group: P-4m2, No. 115.



no.,E_form (uncorrected) (eV/atom),total energy (Ry per atom)
1,-0.103,-0.6191
2,-0.116,-0.6200
3,-0.133,-0.4300
4,-0.088,-0.3761
5,0.024,-0.4477
6,0.097,-0.6044
7,-0.214,-0.4235
8,-0.254,-0.4643
9,-0.472,-0.4725
10,-0.439,-0.3455